Entry i
First-principles (GGA-PBE) data for CuPtRh2 after structural relaxation, as listed in Alexandria via LeMat-Bulk.

Calculated values
The symmetry is Pmmm (47).

Lattice parameters (Å, degrees): 2.744 4.557 4.601 90.00 90.00 90.00
Positions (direct):
Cu 0.000 0.000 0.000
Pt 0.500 0.500 0.000
Rh 0.000 0.500 0.500
Rh 0.500 0.000 0.500

---

Entry ii
First-principles (GGA-PBE) data for CuPtRh2 after structural relaxation, as listed in Alexandria via LeMat-Bulk.

Calculated values
The symmetry is Pmmm (47).

Lattice parameters (Å, degrees): 2.755 3.801 5.411 90.00 90.00 90.00
Positions (direct):
Cu 0.000 0.000 0.000
Pt 0.000 0.000 0.500
Rh 0.500 0.500 0.243
Rh 0.500 0.500 0.757

---

Entry iii
First-principles (GGA-PBE) data for CuPtRh2 after structural relaxation, as listed in Alexandria via LeMat-Bulk.

Calculated values
The symmetry is I-42d (122).

Lattice parameters (Å, degrees): 5.519 5.519 5.519 103.10 103.10 123.14
Positions (direct):
Cu 0.000 0.000 0.000
Cu 0.750 0.250 0.500
Pt 0.250 0.750 0.500
Pt 0.500 0.500 0.000
Rh 0.112 0.625 0.987
Rh 0.375 0.362 0.487
Rh 0.638 0.125 0.013
Rh 0.875 0.888 0.513

---

Entry iv
First-principles (GGA-PBE) data for CuPtRh2 after structural relaxation, as listed in Alexandria via LeMat-Bulk.

Calculated values
The symmetry is F-43m (216).

Lattice parameters (Å, degrees): 4.333 4.333 4.333 60.00 60.00 60.00
Positions (direct):
Cu 0.000 0.000 0.000
Pt 0.250 0.250 0.250
Rh 0.500 0.500 0.500
Rh 0.750 0.750 0.750

---

Verdict on stability: entry iii comes out at the bottom.

---

Entry i
First-principles (GGA-PBE) data for CuPtRh2 after structural relaxation, as listed in Alexandria via LeMat-Bulk.

Calculated values
The symmetry is R-3m (166).

Lattice parameters (Å, degrees): 8.890 8.890 8.890 17.72 17.72 17.72
Positions (direct):
Cu 0.000 0.000 0.000
Pt 0.500 0.500 0.500
Rh 0.253 0.253 0.253
Rh 0.747 0.747 0.747

---

Entry ii
First-principles (GGA-PBE) data for CuPtRh2 after structural relaxation, as listed in Alexandria via LeMat-Bulk.

Calculated values
The symmetry is Cmmm (65).

Lattice parameters (Å, degrees): 2.698 2.698 9.111 90.00 90.00 119.35
Positions (direct):
Cu 0.000 0.000 0.000
Pt 0.000 0.000 0.500
Rh 0.500 0.500 0.239
Rh 0.500 0.500 0.761

---

Verdict on stability: entry ii comes out at the bottom.

---

Entry i
First-principles (GGA-PBE) data for CuPtRh2 after structural relaxation, as listed in Alexandria via LeMat-Bulk.

Calculated values
The symmetry is Cmmm (65).

Lattice parameters (Å, degrees): 4.721 4.721 2.724 90.00 90.00 110.62
Positions (direct):
Cu 0.000 0.000 0.000
Pt 0.500 0.500 0.000
Rh 0.000 0.500 0.500
Rh 0.500 0.000 0.500

---

Entry ii
First-principles (GGA-PBE) data for CuPtRh2 after structural relaxation, as listed in Alexandria via LeMat-Bulk.

Calculated values
The symmetry is Pmm2 (25).

Lattice parameters (Å, degrees): 2.743 3.805 5.426 90.00 90.00 90.00
Positions (direct):
Cu 0.000 0.000 0.000
Pt 0.500 0.500 0.243
Rh 0.000 0.000 0.509
Rh 0.500 0.500 0.748

---

Verdict on stability: entry i comes out at the bottom.

---

Entry i
First-principles (GGA-PBE) data for CuPtRh2 after structural relaxation, as listed in Alexandria via LeMat-Bulk.

Calculated values
The symmetry is I-4m2 (119).

Lattice parameters (Å, degrees): 4.687 4.687 4.687 131.59 131.59 70.88
Positions (direct):
Cu 0.000 0.000 0.000
Pt 0.750 0.250 0.500
Rh 0.250 0.750 0.500
Rh 0.500 0.500 0.000

---

Entry ii
First-principles (GGA-PBE) data for CuPtRh2 after structural relaxation, as listed in Alexandria via LeMat-Bulk.

Calculated values
The symmetry is C2/m (12).

Lattice parameters (Å, degrees): 4.706 4.706 4.672 99.82 99.82 33.78
Positions (direct):
Cu 0.000 0.000 0.000
Pt 0.500 0.500 0.500
Rh 0.250 0.250 0.753
Rh 0.750 0.750 0.247

---

Verdict on stability: entry ii comes out at the bottom.

---

Entry i
First-principles (GGA-PBE) data for CuPtRh2 after structural relaxation, as listed in Alexandria via LeMat-Bulk.

Calculated values
The symmetry is Fm-3m (225).

Lattice parameters (Å, degrees): 4.336 4.336 4.336 60.00 60.00 60.00
Positions (direct):
Cu 0.000 0.000 0.000
Pt 0.500 0.500 0.500
Rh 0.250 0.250 0.250
Rh 0.750 0.750 0.750

---

Entry ii
First-principles (GGA-PBE) data for CuPtRh2 after structural relaxation, as listed in Alexandria via LeMat-Bulk.

Calculated values
The symmetry is P4/mmm (123).

Lattice parameters (Å, degrees): 4.585 4.585 2.744 90.00 90.00 90.00
Positions (direct):
Cu 0.000 0.000 0.000
Pt 0.500 0.500 0.000
Rh 0.000 0.500 0.500
Rh 0.500 0.000 0.500

---

Entry iii
First-principles (GGA-PBE) data for CuPtRh2 after structural relaxation, as listed in Alexandria via LeMat-Bulk.

Calculated values
The symmetry is I4/mmm (139).

Lattice parameters (Å, degrees): 4.690 4.690 4.690 131.66 131.66 70.77
Positions (direct):
Cu 0.000 0.000 0.000
Pt 0.500 0.500 0.000
Rh 0.250 0.750 0.500
Rh 0.750 0.250 0.500

---

Verdict on stability: entry i comes out at the bottom.

---

Entry i
First-principles (GGA-PBE) data for CuPtRh2 after structural relaxation, as listed in Alexandria via LeMat-Bulk.

Calculated values
The symmetry is Cm (8).

Lattice parameters (Å, degrees): 4.688 4.688 4.702 100.08 100.08 33.95
Positions (direct):
Cu 0.000 0.000 0.000
Pt 0.249 0.249 0.763
Rh 0.497 0.497 0.492
Rh 0.751 0.751 0.263

---

Entry ii
First-principles (GGA-PBE) data for CuPtRh2 after structural relaxation, as listed in Alexandria via LeMat-Bulk.

Calculated values
The symmetry is P4/mmm (123).

Lattice parameters (Å, degrees): 3.816 3.816 3.887 90.00 90.00 90.00
Positions (direct):
Cu 0.000 0.000 0.000
Pt 0.500 0.500 0.000
Rh 0.000 0.500 0.500
Rh 0.500 0.000 0.500

---

Verdict on stability: entry ii comes out at the bottom.